Compound: Ir2WO8
Source: Alexandria
Functional: PBE+U
Structure: relaxed

```
Ir2WO8
1.0
6.1775 0.0000 0.0000
-3.0888 5.3499 0.0000
0.0000 0.0000 3.9406
Ir W O
2 1 8
direct
0.3333 0.6667 0.2498
0.6667 0.3333 0.7502
0.0000 0.0000 0.0000
0.1560 0.3119 0.2563
0.1560 0.8440 0.2563
0.3119 0.1560 0.7437
0.3333 0.6667 0.7510
0.6667 0.3333 0.2490
0.6881 0.8440 0.2563
0.8440 0.1560 0.7437
0.8440 0.6881 0.7437
```

## Properties
As for the density of states at the Fermi level: 0.790 states/eV per atom. The final energy comes out at -6.485 eV per atom.